Below is a relaxed Ta2PPd crystal, with properties calculated at the GGA-PBE level.

Total magnetic moment: 0.0 μB/f.u.
N(E_F): 0.522 states/eV/atom
Formation energy from the elements: -0.13 eV per atom
Symmetry: No. 122

Cell: 6.965 6.965 5.618 Å, 90.00 90.00 90.00°
Element x y z (fractional)
Ta: 0.224 0.250 0.125
Ta: 0.250 0.724 0.375
Ta: 0.250 0.776 0.875
Ta: 0.276 0.250 0.625
Ta: 0.724 0.750 0.625
Ta: 0.750 0.224 0.875
Ta: 0.750 0.276 0.375
Ta: 0.776 0.750 0.125
P: 0.000 0.000 0.000
P: 0.000 0.500 0.250
P: 0.500 0.000 0.750
P: 0.500 0.500 0.500
Pd: 0.000 0.000 0.500
Pd: 0.000 0.500 0.750
Pd: 0.500 0.000 0.250
Pd: 0.500 0.500 0.000